This record from the Alexandria database describes TbTh2Ag after structural relaxation. The functional is GGA-PBE.

The value obtained for the calculated volume is 30.644 A^3/atom. The energy above the most stable polymorph in this dataset is 327 meV/atom. The value obtained for the energy relative to the elements is 0.356 eV/atom. The value obtained for the density of states at the Fermi level is 1.3964 states/eV/atom. The spin magnetization is 0.00 μB/f.u. For the final energy, the calculation gives -62.7 eV/cell.

The structure belongs to space group R-3m (No. 166, hexagonal axes); the cell edges are 3.4068, 3.4068 and 36.5857 Å and the angles 90.00°, 90.00° and 120.00°. The inequivalent atoms are Tb at (0.0000, 0.0000, 0.0000), Th at (0.0000, 0.0000, 0.4147) and Ag at (0.0000, 0.0000, 0.5000).

=====

This record from the Alexandria database describes Tb3ThAg4 after structural relaxation. The functional is GGA-PBE.

The value obtained for the calculated volume is 24.878 A^3/atom. The value obtained for the energy relative to the elements is -0.223 eV/atom. The value obtained for the density of states at the Fermi level is 1.0137 states/eV/atom. The spin magnetization is 0.46 μB/f.u. For the final energy, the calculation gives -34.5 eV/cell.

The structure belongs to space group P4/mmm (No. 123); the cell edges are 5.1895, 5.1895 and 7.3902 Å and the angles 90.00°, 90.00° and 90.00°. The inequivalent atoms are Tb at (0.0000, 0.0000, 0.0000), Tb at (0.0000, 0.0000, 0.5000), Tb at (0.5000, 0.5000, 0.0000), Th at (0.5000, 0.5000, 0.5000) and Ag at (0.0000, 0.5000, 0.2411).

=====

This record from the Alexandria database describes TbThAg4 after structural relaxation. The functional is GGA-PBE.

The value obtained for the calculated volume is 22.319 A^3/atom. The energy above the most stable polymorph in this dataset is 85 meV/atom. The value obtained for the energy relative to the elements is -0.073 eV/atom. The value obtained for the density of states at the Fermi level is 0.8971 states/eV/atom. The spin magnetization is 0.00 μB/f.u. For the final energy, the calculation gives -95.6 eV/cell.

The structure belongs to space group F-43m (No. 216); the cell edges are 8.1213, 8.1213 and 8.1213 Å and the angles 90.00°, 90.00° and 90.00°. The inequivalent atoms are Tb at (0.0000, 0.0000, 0.0000), Th at (0.2500, 0.2500, 0.7500) and Ag at (0.1252, 0.1252, 0.3748).

=====

This record from the Alexandria database describes TbTh2Ag after structural relaxation. The functional is GGA-PBE.

The value obtained for the calculated volume is 29.484 A^3/atom. The energy above the most stable polymorph in this dataset is 0 meV/atom. The value obtained for the energy relative to the elements is 0.029 eV/atom. The value obtained for the density of states at the Fermi level is 1.1724 states/eV/atom. The spin magnetization is 0.00 μB/f.u. For the final energy, the calculation gives -22.2 eV/cell.

The structure belongs to space group P4/mmm (No. 123); the cell edges are 3.5576, 3.5576 and 9.3182 Å and the angles 90.00°, 90.00° and 90.00°. The inequivalent atoms are Tb at (0.0000, 0.0000, 0.0000), Th at (0.5000, 0.5000, 0.2756) and Ag at (0.0000, 0.0000, 0.5000).

=====

This record from the Alexandria database describes TbTh2Ag6 after structural relaxation. The functional is GGA-PBE.

The value obtained for the calculated volume is 23.089 A^3/atom. The value obtained for the energy relative to the elements is -0.177 eV/atom. The value obtained for the density of states at the Fermi level is 1.0328 states/eV/atom. The spin magnetization is 0.00 μB/f.u. For the final energy, the calculation gives -38.2 eV/cell.

The structure belongs to space group P6/mmm (No. 191); the cell edges are 8.4088, 8.4088 and 3.3934 Å and the angles 90.00°, 90.00° and 120.00°. The inequivalent atoms are Tb at (0.0000, 0.0000, 0.0000), Th at (0.3333, 0.6667, 0.0000) and Ag at (0.0000, 0.3309, 0.5000).

=====

This record from the Alexandria database describes Tb2ThTl2Ag2 after structural relaxation. The functional is GGA-PBE.

The value obtained for the calculated volume is 25.921 A^3/atom. The value obtained for the energy relative to the elements is -0.127 eV/atom. The value obtained for the density of states at the Fermi level is 0.5997 states/eV/atom. The spin magnetization is 0.00 μB/f.u. For the final energy, the calculation gives -84.0 eV/cell.

The structure belongs to space group R-3m (No. 166, hexagonal axes); the cell edges are 4.9208, 4.9208 and 25.9576 Å and the angles 90.00°, 90.00° and 120.00°. The inequivalent atoms are Tb at (0.0000, 0.0000, 0.1342), Th at (0.0000, 0.0000, 0.0000), Tl at (0.0000, 0.0000, 0.2662) and Ag at (0.0000, 0.0000, 0.4364).

=====

This record from the Alexandria database describes TbThTlAg after structural relaxation. The functional is GGA-PBE.

The value obtained for the calculated volume is 27.308 A^3/atom. The value obtained for the energy relative to the elements is -0.167 eV/atom. The value obtained for the density of states at the Fermi level is 0.8679 states/eV/atom. The spin magnetization is 0.88 μB/f.u. For the final energy, the calculation gives -71.7 eV/cell.

The structure belongs to space group F-43m (No. 216); the cell edges are 7.5881, 7.5881 and 7.5881 Å and the angles 90.00°, 90.00° and 90.00°. The inequivalent atoms are Tb at (0.0000, 0.0000, 0.0000), Th at (0.0000, 0.0000, 0.5000), Tl at (0.2500, 0.2500, 0.2500) and Ag at (0.2500, 0.2500, 0.7500).

=====

This record from the Alexandria database describes TbThZnAg after structural relaxation. The functional is GGA-PBE.

The value obtained for the calculated volume is 24.813 A^3/atom. The value obtained for the energy relative to the elements is -0.172 eV/atom. The value obtained for the density of states at the Fermi level is 1.0252 states/eV/atom. The spin magnetization is 0.64 μB/f.u. For the final energy, the calculation gives -67.4 eV/cell.

The structure belongs to space group F-43m (No. 216); the cell edges are 7.3497, 7.3497 and 7.3497 Å and the angles 90.00°, 90.00° and 90.00°. The inequivalent atoms are Tb at (0.0000, 0.0000, 0.0000), Th at (0.0000, 0.0000, 0.5000), Zn at (0.2500, 0.2500, 0.2500) and Ag at (0.2500, 0.2500, 0.7500).

=====

This record from the Alexandria database describes Tb2TiAg after structural relaxation. The functional is GGA-PBE.

The value obtained for the calculated volume is 24.240 A^3/atom. The energy above the most stable polymorph in this dataset is 0 meV/atom. The value obtained for the energy relative to the elements is -0.023 eV/atom. The value obtained for the density of states at the Fermi level is 0.9169 states/eV/atom. The spin magnetization is 0.00 μB/f.u. For the final energy, the calculation gives -20.1 eV/cell.

The structure belongs to space group P4/mmm (No. 123); the cell edges are 3.4320, 3.4320 and 8.2319 Å and the angles 90.00°, 90.00° and 90.00°. The inequivalent atoms are Tb at (0.0000, 0.0000, 0.2491), Ti at (0.5000, 0.5000, 0.5000) and Ag at (0.5000, 0.5000, 0.0000).

=====

This record from the Alexandria database describes TbTiAg2 after structural relaxation. The functional is GGA-PBE.

The value obtained for the calculated volume is 20.876 A^3/atom. The value obtained for the energy relative to the elements is -0.035 eV/atom. The value obtained for the density of states at the Fermi level is 0.7250 states/eV/atom. The spin magnetization is 1.34 μB/f.u. For the final energy, the calculation gives -18.4 eV/cell.

The structure belongs to space group P4/mmm (No. 123); the cell edges are 3.4708, 3.4708 and 6.9319 Å and the angles 90.00°, 90.00° and 90.00°. The inequivalent atoms are Tb at (0.0000, 0.0000, 0.0000), Ti at (0.0000, 0.0000, 0.5000) and Ag at (0.5000, 0.5000, 0.2825).